1.
Below is crystalline Nb2FeIr9 at its relaxed geometry, with properties calculated at the PBE level.

Structure (extended XYZ):
```
12
Lattice="3.905 0.000 0.000 0.000 3.905 0.000 0.000 0.000 11.682" Properties=species:S:1:pos:R:3 pbc="T T T"
Ir 1.952 0.000 1.904
Nb 0.000 0.000 3.840
Ir 0.000 1.952 9.778
Ir 1.952 0.000 9.778
Ir 1.952 1.952 0.000
Ir 1.952 1.952 3.879
Ir 0.000 1.952 5.841
Ir 0.000 1.952 1.904
Ir 1.952 1.952 7.803
Ir 1.952 0.000 5.841
Fe 0.000 0.000 0.000
Nb 0.000 0.000 7.842
```

## Properties
ΔH_f (0 K) = -0.408 eV/atom
crystal system = tetragonal


2.
Below is crystalline Nb2FeIr4 at its relaxed geometry, with properties calculated at the PBE level.

Structure (extended XYZ):
```
7
Lattice="-1.146 4.249 0.885 -1.346 0.523 -4.250 -7.173 0.445 -0.044" Properties=species:S:1:pos:R:3 pbc="T T T"
Ir -0.673 0.261 -2.125
Ir -4.723 4.041 -2.748
Ir -0.573 2.124 0.443
Fe 0.000 0.000 0.000
Ir -4.942 1.176 -0.661
Nb -6.895 3.330 -2.148
Nb -2.770 1.887 -1.261
```

## Properties
ΔH_f (0 K) = 0.853 eV/atom
crystal system = tetragonal


3.
Below is crystalline Nb2FeIr2 at its relaxed geometry, with properties calculated at the PBE level.

Structure (extended XYZ):
```
5
Lattice="3.717 0.000 0.000 0.000 3.717 0.000 1.858 1.858 6.534" Properties=species:S:1:pos:R:3 pbc="T T T"
Fe 0.000 0.000 0.000
Ir 1.858 3.717 3.267
Ir 3.717 1.858 3.267
Nb 1.858 1.858 1.375
Nb 3.717 3.717 5.159
```

## Properties
ΔH_f (0 K) = 0.335 eV/atom
crystal system = tetragonal
energy relative to the lowest polymorph listed for this composition = 334 meV per atom


4.
Below is crystalline Nb14FeIr at its relaxed geometry, with properties calculated at the PBE level.

Structure (extended XYZ):
```
16
Lattice="6.524 -0.014 0.000 0.014 6.524 0.000 0.000 0.000 6.574" Properties=species:S:1:pos:R:3 pbc="T T T"
Nb 5.713 2.434 3.287
Nb 4.073 4.055 4.897
Nb 2.458 5.703 3.287
Nb 4.066 0.820 4.897
Nb 0.837 4.063 1.678
Nb 5.720 5.696 0.000
Nb 0.830 0.827 4.897
Nb 2.459 5.703 0.000
Nb 0.830 0.827 1.678
Ir 5.720 5.696 3.287
Nb 4.066 0.820 1.678
Nb 0.837 4.063 4.897
Nb 2.452 2.441 0.000
Nb 4.073 4.055 1.678
Fe 2.451 2.440 3.287
Nb 5.713 2.434 0.000
```

## Properties
ΔH_f (0 K) = -0.121 eV/atom
crystal system = tetragonal


The evaluated total moment for the records listed, in turn: 3.663 3.194 1.427 0.535 μB per formula unit.